## Tb4Pm7Y (GGA-PBE)

Data for a relaxed structure of Tb4Pm7Y.

symmetry	C2/m (12)

abc: 6.7656 6.7656 12.8061
angles: 114.86 114.86 52.93
Sites, in units of the cell vectors:
Tb: 0.0643 0.0643 0.3205
Tb: 0.3644 0.3644 0.2234
Tb: 0.6356 0.6356 0.7766
Tb: 0.9357 0.9357 0.6795
Pm: 0.0000 0.0000 0.0000
Pm: 0.2087 0.2087 0.9209
Pm: 0.2394 0.2394 0.6782
Pm: 0.3706 0.3706 0.5009
Pm: 0.6294 0.6294 0.4991
Pm: 0.7606 0.7606 0.3218
Pm: 0.7913 0.7913 0.0791
Y: 0.5000 0.5000 0.0000


## CsNaGe (GGA-PBE)

Data for a relaxed structure of CsNaGe.

symmetry	I4/mmm (139)

abc: 8.9234 8.9234 8.9234
angles: 144.07 144.07 51.72
Sites, in units of the cell vectors:
Cs: 0.1872 0.1872 0.0000
Cs: 0.8128 0.8128 0.0000
Na: 0.0000 0.5000 0.5000
Na: 0.5000 0.0000 0.5000
Ge: 0.4214 0.4214 0.0000
Ge: 0.5786 0.5786 0.0000


Let's list electronic total energy in order: -4.60, -2.33 eV per atom.
Let's list DFT formation energy in order: 0.2579, -0.0673 eV per atom.